Entry 1:
Material: YbSnO3
Method: DFT, PBE
State: optimized geometry Values from VASP.

- energy (eV per atom) = -5.13
- theoretical density (kg/m³) = 7241
- formation energy (no corrections) (eV per atom) = -1.051
- space group = Pm-3m
- magnetization (μB/f.u.) = 2.000

Structure (Quantum ESPRESSO input):
```
&SYSTEM
  ibrav = 0, nat = 5, ntyp = 3
/
ATOMIC_SPECIES
Yb 173.04 Yb.upf
Sn 118.71 Sn.upf
O 16.00 O.upf
CELL_PARAMETERS angstrom
4.271 0.000 0.000
0.000 4.271 0.000
0.000 0.000 4.271
ATOMIC_POSITIONS angstrom
Yb 0.000 0.000 0.000
Sn 2.135 2.135 2.135
O 0.000 0.000 2.135
O 0.000 2.135 0.000
O 2.135 0.000 0.000
```


Entry 2:
Material: RbMgSnBi2
Method: DFT, PBE
State: optimized geometry Values from VASP.

- energy (eV per atom) = -3.11
- theoretical density (kg/m³) = 5613
- ΔH_f (0 K) (eV/atom) = -0.244
- space group = I-4m2
- magnetization (μB/f.u.) = 0.000

Structure (Quantum ESPRESSO input):
```
&SYSTEM
  ibrav = 0, nat = 5, ntyp = 4
/
ATOMIC_SPECIES
Rb 85.47 Rb.upf
Mg 24.30 Mg.upf
Sn 118.71 Sn.upf
Bi 208.98 Bi.upf
CELL_PARAMETERS angstrom
-2.498 2.498 7.661
2.498 -2.498 7.661
2.498 2.498 -7.661
ATOMIC_POSITIONS angstrom
Rb 0.000 0.000 0.000
Mg 0.000 2.498 3.830
Sn 2.498 0.000 3.830
Bi 0.000 0.000 5.615
Bi 0.000 0.000 9.707
```


Entry 3:
Material: DyEr3Ru8
Method: DFT, PBE
State: optimized geometry Values from VASP.

- energy (eV per atom) = -8.03
- theoretical density (kg/m³) = 11499
- ΔH_f (0 K) (eV/atom) = -0.323
- space group = R3m
- magnetization (μB/f.u.) = 0.000

Structure (Quantum ESPRESSO input):
```
&SYSTEM
  ibrav = 0, nat = 12, ntyp = 3
/
ATOMIC_SPECIES
Dy 162.50 Dy.upf
Er 167.26 Er.upf
Ru 101.07 Ru.upf
CELL_PARAMETERS angstrom
2.654 1.532 8.717
-2.654 1.532 8.717
0.000 -3.065 8.717
ATOMIC_POSITIONS angstrom
Dy 0.000 0.000 0.000
Er 0.000 0.000 9.811
Er 0.000 0.000 13.074
Er 0.000 0.000 22.883
Ru 0.000 0.000 4.901
Ru 0.000 -1.531 15.792
Ru -1.326 0.765 15.792
Ru -1.324 -0.764 20.166
Ru 0.000 0.000 17.978
Ru 1.326 0.765 15.792
Ru 1.324 -0.764 20.166
Ru 0.000 1.529 20.166
```


Entry 4:
Material: Ho2ScIn3
Method: DFT, PBE
State: optimized geometry Values from VASP.

- energy (eV per atom) = -4.39
- theoretical density (kg/m³) = 7954
- ΔH_f (0 K) (eV/atom) = -0.435
- space group = Cmmm
- magnetization (μB/f.u.) = 0.000
- polymorph energy (0 for the lowest one) (meV per atom) = 5

Structure (Quantum ESPRESSO input):
```
&SYSTEM
  ibrav = 0, nat = 12, ntyp = 3
/
ATOMIC_SPECIES
Ho 164.93 Ho.upf
Sc 44.96 Sc.upf
In 114.82 In.upf
CELL_PARAMETERS angstrom
2.610 -7.839 0.000
2.610 7.839 0.000
0.000 0.000 7.339
ATOMIC_POSITIONS angstrom
Ho 0.000 0.000 0.000
Ho 0.000 0.000 3.669
Ho 2.610 2.583 0.000
Ho 2.610 -2.583 0.000
Sc 2.610 2.604 3.669
Sc 2.610 -2.604 3.669
In 2.610 5.168 1.918
In 2.610 5.168 5.420
In 2.610 0.000 1.897
In 2.610 0.000 5.442
In 2.610 -5.168 1.918
In 2.610 -5.168 5.420
```


Repeat the first record exactly.
Material: YbSnO3
Method: DFT, PBE
State: optimized geometry Values from VASP.

- energy (eV per atom) = -5.13
- theoretical density (kg/m³) = 7241
- formation energy (no corrections) (eV per atom) = -1.051
- space group = Pm-3m
- magnetization (μB/f.u.) = 2.000

Structure (Quantum ESPRESSO input):
```
&SYSTEM
  ibrav = 0, nat = 5, ntyp = 3
/
ATOMIC_SPECIES
Yb 173.04 Yb.upf
Sn 118.71 Sn.upf
O 16.00 O.upf
CELL_PARAMETERS angstrom
4.271 0.000 0.000
0.000 4.271 0.000
0.000 0.000 4.271
ATOMIC_POSITIONS angstrom
Yb 0.000 0.000 0.000
Sn 2.135 2.135 2.135
O 0.000 0.000 2.135
O 0.000 2.135 0.000
O 2.135 0.000 0.000
```


Question: theoretical density of number 4 (Ho2ScIn3)?
Answer: 7954 kg/m³


What did the second record say?
Material: RbMgSnBi2
Method: DFT, PBE
State: optimized geometry Values from VASP.

- energy (eV per atom) = -3.11
- theoretical density (kg/m³) = 5613
- ΔH_f (0 K) (eV/atom) = -0.244
- space group = I-4m2
- magnetization (μB/f.u.) = 0.000

Structure (Quantum ESPRESSO input):
```
&SYSTEM
  ibrav = 0, nat = 5, ntyp = 4
/
ATOMIC_SPECIES
Rb 85.47 Rb.upf
Mg 24.30 Mg.upf
Sn 118.71 Sn.upf
Bi 208.98 Bi.upf
CELL_PARAMETERS angstrom
-2.498 2.498 7.661
2.498 -2.498 7.661
2.498 2.498 -7.661
ATOMIC_POSITIONS angstrom
Rb 0.000 0.000 0.000
Mg 0.000 2.498 3.830
Sn 2.498 0.000 3.830
Bi 0.000 0.000 5.615
Bi 0.000 0.000 9.707
```